Entry from the Alexandria database: CrSeCl at its PBEsol-relaxed geometry (SCAN).

Properties
formation energy from raw total energies = -0.74 eV per atom
raw total energy = -16.222 eV/atom

```
CrSeCl
1.0
0.0000 2.7935 6.5545
1.7683 0.0000 6.5545
1.7683 2.7935 0.0000
Cr Se Cl
1 1 1
Direct
0.0000 0.0000 0.0000
0.3780 0.3780 0.6220
0.6235 0.6235 0.3765
```

---

Entry from the Alexandria database: CrSe2Cl at its PBEsol-relaxed geometry (SCAN).

Properties
formation energy from raw total energies = -0.09 eV per atom
excess energy over the best structure of this formula in the dataset = 11.02 kcal/mol of atoms
raw total energy = -16.721 eV/atom

```
CrSe2Cl
1.0
2.8337 0.0000 0.0000
0.0000 2.8337 0.0000
0.0000 0.0000 9.3354
Cr Se Cl
1 2 1
Direct
0.0000 0.0000 0.0000
0.0000 0.0000 0.4951
0.5000 0.5000 0.1604
0.5000 0.5000 0.8438
```

---

Entry from the Alexandria database: CrSeCl2 at its PBEsol-relaxed geometry (SCAN).

Properties
formation energy from raw total energies = 0.14 eV per atom
excess energy over the best structure of this formula in the dataset = 17.47 kcal/mol of atoms
raw total energy = -13.461 eV/atom

```
CrSeCl2
1.0
4.3389 0.0000 0.0000
0.0000 4.3389 0.0000
0.0000 0.0000 3.9950
Cr Se Cl
1 1 2
Direct
0.0000 0.0000 0.0000
0.5000 0.5000 0.0000
0.0000 0.5000 0.5000
0.5000 0.0000 0.5000
```

---

Entry from the Alexandria database: CrSeCl at its PBEsol-relaxed geometry (SCAN).

Properties
formation energy from raw total energies = -1.18 eV per atom
raw total energy = -16.660 eV/atom

```
CrSeCl
1.0
3.4801 0.0000 0.0000
-1.7401 3.0139 0.0000
0.0000 0.0000 6.1213
Cr Se Cl
1 1 1
Direct
0.0000 0.0000 0.0000
0.3333 0.6667 0.7767
0.6667 0.3333 0.2339
```

---

Entry from the Alexandria database: CrSeCl3 at its PBEsol-relaxed geometry (SCAN).

Properties
formation energy from raw total energies = -0.51 eV per atom
raw total energy = -12.988 eV/atom

```
CrSeCl3
1.0
4.7570 0.0000 0.0000
0.0000 4.7570 0.0000
0.0000 0.0000 4.7570
Cr Se Cl
1 1 3
Direct
0.0000 0.0000 0.0000
0.5000 0.5000 0.5000
0.0000 0.0000 0.5000
0.0000 0.5000 0.0000
0.5000 0.0000 0.0000
```

---

Entry from the Alexandria database: Cr3SeCl at its PBEsol-relaxed geometry (SCAN).

Properties
formation energy from raw total energies = 0.09 eV per atom
raw total energy = -16.555 eV/atom

```
Cr3SeCl
1.0
4.9377 0.0000 0.0000
0.0000 4.9377 0.0000
0.0000 0.0000 4.9377
Cr Se Cl
3 1 1
Direct
0.0000 0.0000 0.5000
0.0000 0.5000 0.0000
0.5000 0.0000 0.0000
0.0000 0.0000 0.0000
0.5000 0.5000 0.5000
```

---

Entry from the Alexandria database: Cr2SeCl at its PBEsol-relaxed geometry (SCAN).

Properties
formation energy from raw total energies = -0.29 eV per atom
excess energy over the best structure of this formula in the dataset = 5.46 kcal/mol of atoms
raw total energy = -16.495 eV/atom

```
Cr2SeCl
1.0
3.2834 0.0000 0.0000
0.0000 3.2834 0.0000
0.0000 0.0000 6.1464
Cr Se Cl
2 1 1
Direct
0.0000 0.0000 0.0000
0.5000 0.5000 0.2576
0.0000 0.0000 0.4098
0.5000 0.5000 0.8627
```

---

Entry from the Alexandria database: CrSi2Cl at its PBEsol-relaxed geometry (SCAN).

Properties
formation energy from raw total energies = 0.43 eV per atom
raw total energy = -11.172 eV/atom

```
CrSi2Cl
1.0
-1.3261 2.4305 4.6871
1.3261 -2.4305 4.6871
1.3261 2.4305 -4.6871
Cr Si Cl
1 2 1
Direct
0.0000 0.0000 0.0000
0.2171 0.7171 0.5000
0.4709 0.4709 0.0000
0.8018 0.3018 0.5000
```

---

Entry from the Alexandria database: CrSiCl at its PBEsol-relaxed geometry (SCAN).

Properties
formation energy from raw total energies = 1.00 eV per atom
raw total energy = -11.128 eV/atom

```
CrSiCl
1.0
0.0000 2.9708 2.9708
2.9708 0.0000 2.9708
2.9708 2.9708 0.0000
Cr Si Cl
1 1 1
Direct
0.0000 0.0000 0.0000
0.5000 0.5000 0.5000
0.7500 0.7500 0.7500
```

---

Entry from the Alexandria database: CrSiCl2 at its PBEsol-relaxed geometry (SCAN).

Properties
formation energy from raw total energies = 0.24 eV per atom
raw total energy = -10.850 eV/atom

```
CrSiCl2
1.0
0.0000 3.2715 3.2715
3.2715 0.0000 3.2715
3.2715 3.2715 0.0000
Cr Si Cl
1 1 2
Direct
0.0000 0.0000 0.0000
0.5000 0.5000 0.5000
0.2500 0.2500 0.2500
0.7500 0.7500 0.7500
```

---

Entry from the Alexandria database: Cr2SiCl2 at its PBEsol-relaxed geometry (SCAN).

Properties
formation energy from raw total energies = 0.20 eV per atom
raw total energy = -12.344 eV/atom

```
Cr2SiCl2
1.0
-1.9881 1.9881 5.6666
1.9881 -1.9881 5.6666
1.9881 1.9881 -5.6666
Cr Si Cl
2 1 2
Direct
0.1179 0.1179 0.0000
0.8821 0.8821 0.0000
0.5000 0.5000 0.0000
0.2500 0.7500 0.5000
0.7500 0.2500 0.5000
```

---

Entry from the Alexandria database: CrSiCl4 at its PBEsol-relaxed geometry (SCAN).

Properties
formation energy from raw total energies = 0.78 eV per atom
raw total energy = -9.269 eV/atom

```
CrSiCl4
1.0
0.0000 4.0138 4.0138
4.0138 0.0000 4.0138
4.0138 4.0138 0.0000
Cr Si Cl
1 1 4
Direct
0.0000 0.0000 0.0000
0.7500 0.7500 0.7500
0.3744 0.3744 0.3744
0.3744 0.3744 0.8769
0.3744 0.8769 0.3744
0.8769 0.3744 0.3744
```

---

Entry from the Alexandria database: CrSnWCl2 at its PBEsol-relaxed geometry (SCAN).

Properties
formation energy from raw total energies = 1.40 eV per atom
raw total energy = -26.588 eV/atom

```
CrSnWCl2
1.0
5.2378 0.0000 0.0000
0.0000 5.2378 0.0000
0.0000 0.0000 5.4126
Cr Sn W Cl
1 1 1 2
Direct
0.0000 0.0000 0.0000
0.0000 0.0000 0.5000
0.5000 0.5000 0.0000
0.0000 0.5000 0.5000
0.5000 0.0000 0.5000
```

---

Entry from the Alexandria database: CrSnW2Cl at its PBEsol-relaxed geometry (SCAN).

Properties
formation energy from raw total energies = 1.55 eV per atom
raw total energy = -38.779 eV/atom

```
CrSnW2Cl
1.0
4.5100 0.0000 0.0000
0.0000 4.5100 0.0000
0.0000 0.0000 4.9234
Cr Sn W Cl
1 1 2 1
Direct
0.0000 0.0000 0.0000
0.0000 0.0000 0.5000
0.0000 0.5000 0.0000
0.5000 0.0000 0.0000
0.5000 0.5000 0.5000
```

---

Entry from the Alexandria database: SrCr2Cl at its PBEsol-relaxed geometry (SCAN).

Properties
formation energy from raw total energies = -0.11 eV per atom
excess energy over the best structure of this formula in the dataset = 0.81 kcal/mol of atoms
raw total energy = -16.868 eV/atom

```
SrCr2Cl
1.0
3.6742 0.0000 0.0000
0.0000 4.5059 0.0000
0.0000 0.0000 6.0819
Sr Cr Cl
1 2 1
Direct
0.0000 0.0000 0.0000
0.0000 0.5000 0.5000
0.5000 0.0000 0.5000
0.5000 0.5000 0.0000
```

---

Entry from the Alexandria database: SrCr2Cl at its PBEsol-relaxed geometry (SCAN).

Properties
formation energy from raw total energies = 0.18 eV per atom
excess energy over the best structure of this formula in the dataset = 7.67 kcal/mol of atoms
raw total energy = -16.571 eV/atom

```
SrCr2Cl
1.0
1.7214 0.9939 9.1976
-1.7214 0.9939 9.1976
0.0000 -1.9877 9.1976
Sr Cr Cl
1 2 1
Direct
0.0000 0.0000 0.0000
0.2350 0.2350 0.2350
0.7650 0.7650 0.7650
0.5000 0.5000 0.5000
```

---

Entry from the Alexandria database: SrCrCl at its PBEsol-relaxed geometry (SCAN).

Properties
formation energy from raw total energies = -0.61 eV per atom
raw total energy = -16.818 eV/atom

```
SrCrCl
1.0
-1.8084 1.8084 6.5526
1.8084 -1.8084 6.5526
1.8084 1.8084 -6.5526
Sr Cr Cl
1 1 1
Direct
0.0000 0.0000 0.0000
0.6773 0.6773 0.0000
0.3846 0.3846 0.0000
```

---

Entry from the Alexandria database: SrCr2Cl at its PBEsol-relaxed geometry (SCAN).

Properties
formation energy from raw total energies = -0.15 eV per atom
excess energy over the best structure of this formula in the dataset = 0.00 kcal/mol of atoms
raw total energy = -16.904 eV/atom

```
SrCr2Cl
1.0
-2.0339 2.0339 6.0250
2.0339 -2.0339 6.0250
2.0339 2.0339 -6.0250
Sr Cr Cl
1 2 1
Direct
0.0000 0.0000 0.0000
0.2500 0.7500 0.5000
0.7500 0.2500 0.5000
0.5000 0.5000 0.0000
```

---

Entry from the Alexandria database: Tb8CrTe13Cl at its PBEsol-relaxed geometry (SCAN).

Properties
formation energy from raw total energies = -1.48 eV per atom
raw total energy = -39.948 eV/atom

```
Tb8CrTe13Cl
1.0
2.0647 -13.0590 0.0000
2.0647 13.0590 0.0000
0.0000 0.0000 23.4044
Tb Cr Te Cl
16 2 26 2
Direct
0.0161 0.9839 0.5000
0.0526 0.9474 0.1661
0.1061 0.8939 0.3389
0.1487 0.8513 0.0054
0.2747 0.7253 0.3174
0.3077 0.6923 0.9908
0.3677 0.6323 0.1575
0.4395 0.5605 0.3248
0.5605 0.4395 0.8248
0.6323 0.3677 0.6575
0.6923 0.3077 0.4908
0.7253 0.2747 0.8174
0.8513 0.1487 0.5054
0.8939 0.1061 0.8389
0.9474 0.0526 0.6661
0.9839 0.0161 0.0000
0.2910 0.7090 0.6643
0.7090 0.2910 0.1643
0.0618 0.9382 0.7223
0.1290 0.8710 0.5592
0.1447 0.8553 0.8648
0.1729 0.8271 0.2275
0.2020 0.7980 0.7209
0.2447 0.7553 0.1002
0.2739 0.7261 0.4568
0.3052 0.6948 0.8578
0.3768 0.6232 0.6030
0.4152 0.5848 0.9379
0.4324 0.5676 0.4622
0.4505 0.5495 0.7637
0.4817 0.5183 0.1013
0.5183 0.4817 0.6013
0.5495 0.4505 0.2637
0.5676 0.4324 0.9622
0.5848 0.4152 0.4379
0.6232 0.3768 0.1030
0.6948 0.3052 0.3578
0.7261 0.2739 0.9568
0.7553 0.2447 0.6002
0.7980 0.2020 0.2209
0.8271 0.1729 0.7275
0.8553 0.1447 0.3648
0.8710 0.1290 0.0592
0.9382 0.0618 0.2223
0.0014 0.9986 0.8693
0.9986 0.0014 0.3693
```

---

Entry from the Alexandria database: CrTc2Cl at its PBEsol-relaxed geometry (SCAN).

Properties
formation energy from raw total energies = 0.76 eV per atom
excess energy over the best structure of this formula in the dataset = 9.78 kcal/mol of atoms
raw total energy = -23.359 eV/atom

```
CrTc2Cl
1.0
2.8083 0.0000 0.0000
0.0000 4.2710 0.0000
0.0000 0.0000 4.4519
Cr Tc Cl
1 2 1
Direct
0.0000 0.0000 0.0000
0.0000 0.5000 0.5000
0.5000 0.5000 0.0000
0.5000 0.0000 0.5000
```

---

Entry from the Alexandria database: CrTc2Cl at its PBEsol-relaxed geometry (SCAN).

Properties
formation energy from raw total energies = 0.40 eV per atom
excess energy over the best structure of this formula in the dataset = 1.38 kcal/mol of atoms
raw total energy = -23.723 eV/atom

```
CrTc2Cl
1.0
4.7995 -1.4242 0.0000
4.7995 1.4242 0.0000
-0.1970 0.0000 4.1130
Cr Tc Cl
1 2 1
Direct
0.0000 0.0000 0.0000
0.2896 0.2896 0.7776
0.7104 0.7104 0.2224
0.5000 0.5000 0.5000
```

---

Entry from the Alexandria database: CrTc2Cl at its PBEsol-relaxed geometry (SCAN).

Properties
formation energy from raw total energies = 0.34 eV per atom
excess energy over the best structure of this formula in the dataset = 0.00 kcal/mol of atoms
raw total energy = -23.783 eV/atom

```
CrTc2Cl
1.0
2.8679 0.0000 0.0000
0.0000 2.8679 0.0000
0.0000 0.0000 6.4556
Cr Tc Cl
1 2 1
Direct
0.0000 0.0000 0.0000
0.5000 0.5000 0.2302
0.5000 0.5000 0.7698
0.0000 0.0000 0.5000
```

---

Entry from the Alexandria database: CrTc2Cl at its PBEsol-relaxed geometry (SCAN).

Properties
formation energy from raw total energies = 0.55 eV per atom
excess energy over the best structure of this formula in the dataset = 4.83 kcal/mol of atoms
raw total energy = -23.574 eV/atom

```
CrTc2Cl
1.0
2.8035 0.0000 0.0000
0.0000 3.9239 0.0000
-1.1735 0.0000 4.8960
Cr Tc Cl
1 2 1
Direct
0.0000 0.0000 0.0000
0.3420 0.5000 0.7532
0.6580 0.5000 0.2468
0.0000 0.0000 0.5000
```

---

Entry from the Alexandria database: Cr2TcCl at its PBEsol-relaxed geometry (SCAN).

Properties
formation energy from raw total energies = 0.37 eV per atom
raw total energy = -19.580 eV/atom

```
Cr2TcCl
1.0
1.4553 -2.3350 0.0000
1.4553 2.3350 0.0000
0.0000 0.0000 7.9385
Cr Tc Cl
2 1 1
Direct
0.0000 0.0000 0.0000
0.5000 0.5000 0.2258
0.5000 0.5000 0.7597
0.0000 0.0000 0.4642
```

---

Entry from the Alexandria database: CrTc2Cl at its PBEsol-relaxed geometry (SCAN).

Properties
formation energy from raw total energies = 1.03 eV per atom
excess energy over the best structure of this formula in the dataset = 15.88 kcal/mol of atoms
raw total energy = -23.095 eV/atom

```
CrTc2Cl
1.0
0.0000 2.9941 2.9941
2.9941 0.0000 2.9941
2.9941 2.9941 0.0000
Cr Tc Cl
1 2 1
Direct
0.0000 0.0000 0.0000
0.2500 0.2500 0.2500
0.5000 0.5000 0.5000
0.7500 0.7500 0.7500
```

---

Entry from the Alexandria database: Cr4TcCl at its PBEsol-relaxed geometry (SCAN).

Properties
formation energy from raw total energies = 0.91 eV per atom
raw total energy = -18.520 eV/atom

```
Cr4TcCl
1.0
0.0000 3.3574 3.3574
3.3574 0.0000 3.3574
3.3574 3.3574 0.0000
Cr Tc Cl
4 1 1
Direct
0.1245 0.1245 0.1245
0.1245 0.1245 0.6266
0.1245 0.6266 0.1245
0.6266 0.1245 0.1245
0.5000 0.5000 0.5000
0.7500 0.7500 0.7500
```

---

Entry from the Alexandria database: CrTc2Cl at its PBEsol-relaxed geometry (SCAN).

Properties
formation energy from raw total energies = 0.45 eV per atom
excess energy over the best structure of this formula in the dataset = 2.51 kcal/mol of atoms
raw total energy = -23.674 eV/atom

```
CrTc2Cl
1.0
2.9018 0.0000 0.0000
0.0000 3.6793 0.0000
0.0000 0.0000 6.4413
Cr Tc Cl
1 2 1
Direct
0.0000 0.0000 0.0000
0.0000 0.0000 0.3319
0.5000 0.5000 0.1559
0.5000 0.5000 0.7901
```

---

Entry from the Alexandria database: CrTe2Cl at its PBEsol-relaxed geometry (SCAN).

Properties
formation energy from raw total energies = 0.00 eV per atom
excess energy over the best structure of this formula in the dataset = 0.66 kcal/mol of atoms
raw total energy = -25.214 eV/atom

```
CrTe2Cl
1.0
-3.3391 3.3391 5.5392
3.3391 -3.3391 5.5392
3.3391 3.3391 -5.5392
Cr Te Cl
2 4 2
Direct
0.0000 0.0000 0.0000
0.7500 0.2500 0.5000
0.0482 0.6250 0.9232
0.3750 0.2982 0.4232
0.7018 0.1250 0.0768
0.8750 0.9518 0.5768
0.2500 0.7500 0.5000
0.5000 0.5000 0.0000
```